The following is a PBE calculation of a relaxed structure of CaHf2Rh2, from Alexandria via LeMat-Bulk.

Values from the calculation:
* volume: 221.9 Å³ per cell
* crystal system: tetragonal
* ΔE_f: -632 meV per atom
* N(E_F): 0.520 states/eV per atom

The structure in CIF format:
```
data_CaHf2Rh2
_chemical_formula_sum 'Ca2 Hf4 Rh4'
_cell_length_a 4.425
_cell_length_b 4.425
_cell_length_c 11.337
_cell_angle_alpha 90.00
_cell_angle_beta 90.00
_cell_angle_gamma 90.00
_symmetry_space_group_name_H-M 'I 4/m m m'
_symmetry_Int_Tables_number 139
_symmetry_space_group_name_Hall '-I 4 2'
loop_
_atom_site_label
_atom_site_fract_x
_atom_site_fract_y
_atom_site_fract_z
_atom_site_occupancy
Ca1 0.000 0.000 0.000 1
Hf1 0.000 0.500 0.250 1
Rh1 0.000 0.000 0.382 1
```